1.
Computed, not measured: crystalline CaNdGa at its relaxed geometry at the PBE level of DFT.

a = 5.123 Å, b = 5.123 Å, c = 8.171 Å
α = 90.00°, β = 90.00°, γ = 120.00°
Element x y z (fractional)
Ca (0.333, 0.667, 0.141)
Ca (0.667, 0.333, 0.859)
Nd (0.333, 0.667, 0.602)
Nd (0.667, 0.333, 0.398)
Ga (0.000, 0.000, 0.322)
Ga (0.000, 0.000, 0.678)

Calculated values
energy of formation: -0.27 eV/atom

---

2.
Computed, not measured: crystalline CaNdGa at its relaxed geometry at the PBE level of DFT.

a = 7.263 Å, b = 7.263 Å, c = 7.263 Å
α = 150.97°, β = 150.97°, γ = 41.51°
Element x y z (fractional)
Ca (0.000, 0.000, 0.000)
Nd (0.729, 0.729, 0.000)
Ga (0.359, 0.359, 0.000)

Calculated values
energy of formation: -0.33 eV/atom

---

Going through the records in order, we get polymorph energy (0 for the lowest one) values of 155; 97 meV per atom.
Going through the records in order, we get E values of -3.538; -3.596 eV/atom.
Going through the records in order, we get mass density values of 4.5; 4.7 g/cm3.